(1)
Density functional theory data (PBE) for a relaxed ScCr2Hg crystal.

Calculated values
ΔH_f (0 K) = 0.404 eV/atom
calculated density = 7683 kg/m3
magnetic moment = 7.5 Bohr magnetons per cell

a b c (Å): 3.478 3.478 6.244
angles (deg): 90.00 90.00 90.00
Sites, in units of the cell vectors:
Sc 0.000 0.000 0.000
Cr 0.500 0.500 0.252
Cr 0.500 0.500 0.748
Hg 0.000 0.000 0.500

(2)
Density functional theory data (PBE) for a relaxed BaPb6 crystal.

Calculated values
ΔH_f (0 K) = -0.161 eV/atom
calculated density = 9360 kg/m3
magnetic moment = 0.0 Bohr magnetons per cell

a b c (Å): 11.758 6.578 12.667
angles (deg): 90.00 90.00 90.00
Sites, in units of the cell vectors:
Ba 0.219 0.250 0.094
Ba 0.281 0.750 0.594
Ba 0.719 0.250 0.406
Ba 0.781 0.750 0.906
Pb 0.029 0.750 0.103
Pb 0.033 0.000 0.341
Pb 0.033 0.500 0.341
Pb 0.116 0.750 0.856
Pb 0.168 0.250 0.529
Pb 0.224 0.250 0.782
Pb 0.276 0.750 0.282
Pb 0.332 0.750 0.029
Pb 0.384 0.250 0.356
Pb 0.467 0.000 0.841
Pb 0.467 0.500 0.841
Pb 0.471 0.250 0.603
Pb 0.529 0.750 0.397
Pb 0.533 0.000 0.159
Pb 0.533 0.500 0.159
Pb 0.616 0.750 0.644
Pb 0.668 0.250 0.971
Pb 0.724 0.250 0.718
Pb 0.776 0.750 0.218
Pb 0.832 0.750 0.471
Pb 0.884 0.250 0.144
Pb 0.967 0.000 0.659
Pb 0.967 0.500 0.659
Pb 0.971 0.250 0.897

(3)
Density functional theory data (PBE) for a relaxed LaSm9Mg2 crystal.

Calculated values
ΔH_f (0 K) = 0.022 eV/atom
calculated density = 6617 kg/m3
magnetic moment = 0.0 Bohr magnetons per cell

a b c (Å): 5.042 5.042 15.211
angles (deg): 90.00 90.00 90.00
Sites, in units of the cell vectors:
La 0.000 0.000 0.000
Sm 0.000 0.500 0.173
Sm 0.000 0.500 0.500
Sm 0.000 0.500 0.827
Sm 0.500 0.000 0.173
Sm 0.500 0.000 0.500
Sm 0.500 0.000 0.827
Sm 0.500 0.500 0.000
Sm 0.500 0.500 0.339
Sm 0.500 0.500 0.661
Mg 0.000 0.000 0.338
Mg 0.000 0.000 0.662

(4)
Density functional theory data (PBE) for a relaxed KMn2P crystal.

Calculated values
ΔH_f (0 K) = 0.430 eV/atom
calculated density = 3604 kg/m3
magnetic moment = 5.6 Bohr magnetons per cell

a b c (Å): 2.964 3.837 7.438
angles (deg): 90.00 101.42 90.00
Sites, in units of the cell vectors:
K 0.000 0.000 0.000
Mn 0.328 0.500 0.631
Mn 0.672 0.500 0.369
P 0.000 0.000 0.500

(5)
Density functional theory data (PBE) for a relaxed LiNpO2 crystal.

Calculated values
ΔE_f (raw) = -45.4 kcal/mol of atoms
calculated density = 9829 kg/m3
magnetic moment = 3.9 Bohr magnetons per cell

a b c (Å): 4.033 4.033 2.866
angles (deg): 90.00 90.00 90.00
Sites, in units of the cell vectors:
Li 0.000 0.000 0.000
Np 0.500 0.500 0.000
O 0.000 0.500 0.500
O 0.500 0.000 0.500

(6)
Density functional theory data (PBE) for a relaxed LaSn4Pd2Ru crystal.

Calculated values
ΔH_f (0 K) = -0.430 eV/atom
calculated density = 8885 kg/m3
magnetic moment = 0.0 Bohr magnetons per cell

a b c (Å): 9.871 9.871 9.871
angles (deg): 26.88 26.88 26.88
Sites, in units of the cell vectors:
La 0.000 0.000 0.000
Sn 0.132 0.132 0.132
Sn 0.399 0.399 0.399
Sn 0.601 0.601 0.601
Sn 0.868 0.868 0.868
Pd 0.235 0.235 0.235
Pd 0.765 0.765 0.765
Ru 0.500 0.500 0.500

(7)
Density functional theory data (PBE) for a relaxed PmSbRu2 crystal.

Calculated values
ΔE_f (raw) = -2.7 kcal/mol of atoms
calculated density = 10183 kg/m3
magnetic moment = 0.0 Bohr magnetons per cell

a b c (Å): 3.378 3.378 6.702
angles (deg): 90.00 90.00 90.00
Sites, in units of the cell vectors:
Pm 0.000 0.000 0.000
Sb 0.000 0.000 0.500
Ru 0.500 0.500 0.281
Ru 0.500 0.500 0.719

(8)
Density functional theory data (PBE) for a relaxed NpAlZn2 crystal.

Calculated values
ΔH_f (0 K) = 0.223 eV/atom
calculated density = 8670 kg/m3
magnetic moment = 4.2 Bohr magnetons per cell

a b c (Å): 5.246 5.246 2.748
angles (deg): 90.00 90.00 90.00
Sites, in units of the cell vectors:
Np 0.000 0.000 0.000
Al 0.500 0.500 0.000
Zn 0.000 0.500 0.500
Zn 0.500 0.000 0.500

Question: What is the magnetic moment in the fifth record?
Answer: 3.9 Bohr magnetons per cell

Repeat the first record exactly.
Density functional theory data (PBE) for a relaxed ScCr2Hg crystal.

Calculated values
ΔH_f (0 K) = 0.404 eV/atom
calculated density = 7683 kg/m3
magnetic moment = 7.5 Bohr magnetons per cell

a b c (Å): 3.478 3.478 6.244
angles (deg): 90.00 90.00 90.00
Sites, in units of the cell vectors:
Sc 0.000 0.000 0.000
Cr 0.500 0.500 0.252
Cr 0.500 0.500 0.748
Hg 0.000 0.000 0.500

Question: What is the formula in the seventh record?
Answer: PmSbRu2

Question: The highest magnetic moment belongs to which entry?
Answer: ScCr2Hg